AcSn2Rh5 | GGA-PBE | relaxed

Properties
Its total moment is 0.000 μB/atom. Its space group is Immm. The calculated density is 10.3 g cm⁻³. The formation energy comes out at -0.4124 eV per atom. The calculation puts the calculated total energy at -6.52 eV/atom.

Cell lengths 6.841, 6.841, 6.841 Å; angles 145.30, 118.73, 72.37 degrees
Fractional positions:
Ac  0.000  0.000  0.000
Sn  0.265  0.765  0.500
Sn  0.735  0.235  0.500
Rh  0.175  0.372  0.802
Rh  0.430  0.628  0.802
Rh  0.500  0.000  0.500
Rh  0.570  0.372  0.198
Rh  0.825  0.628  0.198

***

Ac5Sn5Rh2 | GGA-PBE | relaxed

Properties
Its total moment is 0.000 μB/atom. Its space group is C2/m. The calculated density is 8.6 g cm⁻³. The formation energy comes out at -0.6978 eV per atom. The calculation puts the calculated total energy at -5.30 eV/atom.

Cell lengths 8.878, 8.878, 12.549 Å; angles 130.29, 130.29, 30.80 degrees
Fractional positions:
Ac  0.000  0.000  0.000
Ac  0.124  0.124  0.423
Ac  0.192  0.192  0.820
Ac  0.808  0.808  0.180
Ac  0.876  0.876  0.577
Sn  0.251  0.251  0.303
Sn  0.448  0.448  0.163
Sn  0.500  0.500  0.500
Sn  0.552  0.552  0.837
Sn  0.749  0.749  0.697
Rh  0.350  0.350  0.735
Rh  0.650  0.650  0.265

***

Ac3SnRh8 | GGA-PBE | relaxed

Properties
Its total moment is 0.000 μB/atom. Its space group is R3m. The calculated density is 11.4 g cm⁻³. The formation energy comes out at -0.4599 eV per atom. The calculation puts the calculated total energy at -6.72 eV/atom.

Cell lengths 9.528, 9.528, 9.528 Å; angles 33.62, 33.62, 33.62 degrees
Fractional positions:
Ac  0.000  0.000  0.000
Ac  0.128  0.128  0.128
Ac  0.618  0.618  0.618
Sn  0.492  0.492  0.492
Rh  0.060  0.060  0.561
Rh  0.060  0.561  0.060
Rh  0.066  0.563  0.563
Rh  0.312  0.312  0.312
Rh  0.561  0.060  0.060
Rh  0.563  0.066  0.563
Rh  0.563  0.563  0.066
Rh  0.813  0.813  0.813

***

Look up the calculated density of the second one. 8.6 g cm⁻³

***

Please write out number 3 again, unchanged.
Ac3SnRh8 | GGA-PBE | relaxed

Properties
Its total moment is 0.000 μB/atom. Its space group is R3m. The calculated density is 11.4 g cm⁻³. The formation energy comes out at -0.4599 eV per atom. The calculation puts the calculated total energy at -6.72 eV/atom.

Cell lengths 9.528, 9.528, 9.528 Å; angles 33.62, 33.62, 33.62 degrees
Fractional positions:
Ac  0.000  0.000  0.000
Ac  0.128  0.128  0.128
Ac  0.618  0.618  0.618
Sn  0.492  0.492  0.492
Rh  0.060  0.060  0.561
Rh  0.060  0.561  0.060
Rh  0.066  0.563  0.563
Rh  0.312  0.312  0.312
Rh  0.561  0.060  0.060
Rh  0.563  0.066  0.563
Rh  0.563  0.563  0.066
Rh  0.813  0.813  0.813